Entry 1:
AlAgAu2 | PBEsol | optimized geometry

```
AlAgAu2
1.0
4.231 0.000 0.000
0.000 4.231 0.000
0.000 0.000 3.646
Al Ag Au
1 1 2
Direct
0.000 0.000 0.000
0.500 0.500 0.000
0.000 0.500 0.500
0.500 0.000 0.500
```

Space-group type   P4/mmm (123)
E_form   -0.225 eV per atom
ΔE to the lowest computed polymorph   0.040 eV/atom



Entry 2:
AlAgAu2 | PBEsol | optimized geometry

```
AlAgAu2
1.0
3.027 0.000 0.000
0.000 3.724 0.000
0.000 0.000 5.793
Al Ag Au
1 1 2
Direct
0.000 0.000 0.000
0.500 0.500 0.744
0.000 0.000 0.497
0.500 0.500 0.220
```

Space-group type   Pmm2 (25)
E_form   -0.183 eV per atom
ΔE to the lowest computed polymorph   0.081 eV/atom



Entry 3:
AlAg2Au2 | PBEsol | optimized geometry

```
AlAg2Au2
1.0
-1.824 1.824 6.942
1.824 -1.824 6.942
1.824 1.824 -6.942
Al Ag Au
1 2 2
Direct
0.000 0.000 0.000
0.250 0.750 0.500
0.750 0.250 0.500
0.405 0.405 0.000
0.595 0.595 0.000
```

Space-group type   I4/mmm (139)
E_form   0.101 eV per atom



Entry 4:
AlAgAu2 | PBEsol | optimized geometry

```
AlAgAu2
1.0
0.000 3.192 3.192
3.192 0.000 3.192
3.192 3.192 0.000
Al Ag Au
1 1 2
Direct
0.000 0.000 0.000
0.500 0.500 0.500
0.250 0.250 0.250
0.750 0.750 0.750
```

Space-group type   Fm-3m (225)
E_form   -0.231 eV per atom
ΔE to the lowest computed polymorph   0.034 eV/atom



Entry 5:
AlAgAu2 | PBEsol | optimized geometry

```
AlAgAu2
1.0
4.801 -1.529 0.000
4.801 1.529 0.000
-1.403 0.000 4.431
Al Ag Au
1 1 2
Direct
0.000 0.000 0.000
0.736 0.736 0.276
0.270 0.270 0.803
0.500 0.500 0.507
```

Space-group type   Cm (8)
E_form   -0.230 eV per atom
ΔE to the lowest computed polymorph   0.034 eV/atom



Entry 6:
AlAg2Au | PBEsol | optimized geometry

```
AlAg2Au
1.0
4.856 -1.554 0.000
4.856 1.554 0.000
-1.479 0.000 4.282
Al Ag Au
1 2 1
Direct
0.000 0.000 0.000
0.263 0.263 0.761
0.737 0.737 0.239
0.500 0.500 0.500
```

Space-group type   C2/m (12)
E_form   -0.179 eV per atom



Entry 7:
AlAg2Au | PBEsol | optimized geometry

```
AlAg2Au
1.0
-1.951 1.951 4.241
1.951 -1.951 4.241
1.951 1.951 -4.241
Al Ag Au
1 2 1
Direct
0.000 0.000 0.000
0.250 0.750 0.500
0.750 0.250 0.500
0.500 0.500 0.000
```

Space-group type   I4/mmm (139)
E_form   -0.195 eV per atom



Entry 8:
AlAg2Au | PBEsol | optimized geometry

```
AlAg2Au
1.0
3.061 0.000 0.000
0.000 3.441 0.000
0.000 0.000 6.150
Al Ag Au
1 2 1
Direct
0.000 0.000 0.000
0.000 0.000 0.495
0.500 0.500 0.754
0.500 0.500 0.220
```

Space-group type   Pmm2 (25)
E_form   -0.167 eV per atom



Entry 9:
AlAgAu2 | PBEsol | optimized geometry

```
AlAgAu2
1.0
3.331 0.000 0.000
0.000 3.331 0.000
0.000 0.000 5.887
Al Ag Au
1 1 2
Direct
0.000 0.000 0.000
0.500 0.500 0.748
0.000 0.000 0.496
0.500 0.500 0.218
```

Space-group type   P4mm (99)
E_form   -0.183 eV per atom
ΔE to the lowest computed polymorph   0.082 eV/atom



Entry 10:
AlAg2Au | PBEsol | optimized geometry

```
AlAg2Au
1.0
3.242 0.000 0.000
0.000 3.242 0.000
0.000 0.000 6.168
Al Ag Au
1 2 1
Direct
0.000 0.000 0.000
0.000 0.000 0.494
0.500 0.500 0.754
0.500 0.500 0.219
```

Space-group type   P4mm (99)
E_form   -0.169 eV per atom



Entry 11:
AlAgAu2 | PBEsol | optimized geometry

```
AlAgAu2
1.0
-1.806 2.089 4.302
1.806 -2.089 4.302
1.806 2.089 -4.302
Al Ag Au
1 1 2
Direct
0.000 0.000 0.000
0.242 0.742 0.500
0.510 0.510 0.000
0.775 0.275 0.500
```

Space-group type   Imm2 (44)
E_form   -0.244 eV per atom
ΔE to the lowest computed polymorph   0.021 eV/atom



Entry 12:
AlAgAu2 | PBEsol | optimized geometry

```
AlAgAu2
1.0
3.053 0.000 0.000
0.000 3.129 0.000
0.000 0.000 6.786
Al Ag Au
1 1 2
Direct
0.000 0.000 0.000
0.000 0.000 0.500
0.500 0.500 0.224
0.500 0.500 0.776
```

Space-group type   Pmmm (47)
E_form   -0.265 eV per atom
ΔE to the lowest computed polymorph   0.000 eV/atom



Entry 13:
AlAgAu2 | PBEsol | optimized geometry

```
AlAgAu2
1.0
-2.121 2.121 3.612
2.121 -2.121 3.612
2.121 2.121 -3.612
Al Ag Au
1 1 2
Direct
0.000 0.000 0.000
0.500 0.500 0.000
0.250 0.750 0.500
0.750 0.250 0.500
```

Space-group type   I4/mmm (139)
E_form   -0.234 eV per atom
ΔE to the lowest computed polymorph   0.030 eV/atom



Entry 14:
AlAg2Au | PBEsol | optimized geometry

```
AlAg2Au
1.0
2.528 -1.466 0.000
2.528 1.466 0.000
-1.740 0.000 8.849
Al Ag Au
1 2 1
Direct
0.000 0.000 0.000
0.501 0.501 0.502
0.748 0.748 0.240
0.254 0.254 0.768
```

Space-group type   Cm (8)
E_form   -0.116 eV per atom



Entry 15:
AlAgAu2 | PBEsol | optimized geometry

```
AlAgAu2
1.0
-1.965 1.965 4.194
1.965 -1.965 4.194
1.965 1.965 -4.194
Al Ag Au
1 1 2
Direct
0.000 0.000 0.000
0.250 0.750 0.500
0.500 0.500 0.000
0.750 0.250 0.500
```

Space-group type   I-4m2 (119)
E_form   -0.241 eV per atom
ΔE to the lowest computed polymorph   0.023 eV/atom



Entry 16:
AlAg2Au | PBEsol | optimized geometry

```
AlAg2Au
1.0
-1.822 2.050 4.317
1.822 -2.050 4.317
1.822 2.050 -4.317
Al Ag Au
1 2 1
Direct
0.000 0.000 0.000
0.240 0.740 0.500
0.760 0.260 0.500
0.500 0.500 0.000
```

Space-group type   Immm (71)
E_form   -0.194 eV per atom



Entry 17:
AlAg2Au | PBEsol | optimized geometry

```
AlAg2Au
1.0
3.926 0.000 0.000
0.000 3.926 0.000
0.000 0.000 4.206
Al Ag Au
1 2 1
Direct
0.000 0.000 0.000
0.000 0.500 0.500
0.500 0.000 0.500
0.500 0.500 0.000
```

Space-group type   P4/mmm (123)
E_form   -0.175 eV per atom



Entry 18:
LaAl2AgAu | PBEsol | optimized geometry

```
LaAl2AgAu
1.0
4.776 0.000 0.000
0.000 4.776 0.000
0.000 0.000 5.081
La Al Ag Au
1 2 1 1
Direct
0.000 0.000 0.000
0.000 0.500 0.500
0.500 0.000 0.500
0.500 0.500 0.500
0.500 0.500 0.000
```

Space-group type   P4/mmm (123)
E_form   0.003 eV per atom



Entry 19:
Al3AgB | PBEsol | optimized geometry

```
Al3AgB
1.0
4.722 0.000 0.000
0.000 4.722 0.000
0.000 0.000 4.722
Al Ag B
3 1 1
Direct
0.000 0.000 0.500
0.000 0.500 0.000
0.500 0.000 0.000
0.000 0.000 0.000
0.500 0.500 0.500
```

Space-group type   Pm-3m (221)
E_form   1.317 eV per atom



Entry 20:
AlAgB3 | PBEsol | optimized geometry

```
AlAgB3
1.0
4.143 0.000 0.000
0.000 4.143 0.000
0.000 0.000 4.143
Al Ag B
1 1 3
Direct
0.000 0.000 0.000
0.500 0.500 0.500
0.000 0.500 0.500
0.500 0.000 0.500
0.500 0.500 0.000
```

Space-group type   Pm-3m (221)
E_form   1.949 eV per atom



Entry 21:
AlAg2B | PBEsol | optimized geometry

```
AlAg2B
1.0
0.000 3.033 3.033
3.033 0.000 3.033
3.033 3.033 0.000
Al Ag B
1 2 1
Direct
0.000 0.000 0.000
0.250 0.250 0.250
0.750 0.750 0.750
0.500 0.500 0.500
```

Space-group type   Fm-3m (225)
E_form   0.700 eV per atom



Entry 22:
AlNi2AgB | PBEsol | optimized geometry

```
AlNi2AgB
1.0
4.562 0.000 0.000
0.000 4.562 0.000
0.000 0.000 4.558
Al Ni Ag B
1 2 1 1
Direct
0.000 0.000 0.000
0.000 0.500 0.500
0.500 0.000 0.500
0.000 0.000 0.500
0.500 0.500 0.000
```

Space-group type   P4/mmm (123)
E_form   1.951 eV per atom



Entry 23:
BaAlAg2 | PBEsol | optimized geometry

```
BaAlAg2
1.0
2.280 1.317 5.763
-2.280 1.317 5.763
0.000 -2.633 5.763
Ba Al Ag
1 1 2
Direct
0.000 0.000 0.000
0.500 0.500 0.500
0.195 0.195 0.195
0.805 0.805 0.805
```

Space-group type   R-3m (166)
E_form   -0.232 eV per atom



Entry 24:
BaAlAg2 | PBEsol | optimized geometry

```
BaAlAg2
1.0
3.331 0.000 0.000
0.000 3.331 0.000
0.000 0.000 7.944
Ba Al Ag
1 1 2
Direct
0.000 0.000 0.000
0.000 0.000 0.500
0.500 0.500 0.320
0.500 0.500 0.680
```

Space-group type   P4/mmm (123)
E_form   -0.020 eV per atom



Entry 25:
BeAlAg3 | PBEsol | optimized geometry

```
BeAlAg3
1.0
4.698 0.000 0.000
0.000 4.698 0.000
0.000 0.000 4.698
Be Al Ag
1 1 3
Direct
0.000 0.000 0.000
0.500 0.500 0.500
0.000 0.500 0.500
0.500 0.000 0.500
0.500 0.500 0.000
```

Space-group type   Pm-3m (221)
E_form   1.003 eV per atom



Entry 26:
BeAl2Ag | PBEsol | optimized geometry

```
BeAl2Ag
1.0
-1.933 1.933 3.898
1.933 -1.933 3.898
1.933 1.933 -3.898
Be Al Ag
1 2 1
Direct
0.000 0.000 0.000
0.250 0.750 0.500
0.500 0.500 0.000
0.750 0.250 0.500
```

Space-group type   I-4m2 (119)
E_form   0.162 eV per atom



Entry 27:
Be4AlAg | PBEsol | optimized geometry

```
Be4AlAg
1.0
0.000 3.149 3.149
3.149 0.000 3.149
3.149 3.149 0.000
Be Al Ag
4 1 1
Direct
0.376 0.376 0.376
0.376 0.376 0.872
0.376 0.872 0.376
0.872 0.376 0.376
0.750 0.750 0.750
0.000 0.000 0.000
```

Space-group type   F-43m (216)
E_form   0.011 eV per atom



Entry 28:
TaBeAl2Ag | PBEsol | optimized geometry

```
TaBeAl2Ag
1.0
4.971 0.000 0.000
0.000 4.971 0.000
0.000 0.000 4.466
Ta Be Al Ag
1 1 2 1
Direct
0.000 0.000 0.000
0.000 0.000 0.500
0.000 0.500 0.000
0.500 0.000 0.000
0.500 0.500 0.500
```

Space-group type   P4/mmm (123)
E_form   1.314 eV per atom



Entry 29:
AlAgBr | PBEsol | optimized geometry

```
AlAgBr
1.0
0.000 3.324 3.324
3.324 0.000 3.324
3.324 3.324 0.000
Al Ag Br
1 1 1
Direct
0.000 0.000 0.000
0.750 0.750 0.750
0.250 0.250 0.250
```

Space-group type   F-43m (216)
Uncorrected formation energy   0.3308 eV per atom



Entry 30:
Cs2AlAgBr6 | PBEsol | optimized geometry

```
Cs2AlAgBr6
1.0
0.000 5.317 5.317
5.317 0.000 5.317
5.317 5.317 0.000
Cs Al Ag Br
2 1 1 6
Direct
0.250 0.250 0.250
0.750 0.750 0.750
0.000 0.000 0.000
0.500 0.500 0.500
0.237 0.237 0.763
0.237 0.763 0.237
0.237 0.763 0.763
0.763 0.237 0.237
0.763 0.237 0.763
0.763 0.763 0.237
```

Space-group type   Fm-3m (225)
Uncorrected formation energy   -1.2329 eV per atom



Number 1: raw total energy -16.15 eV per formula unit. Number 2: raw total energy -15.98 eV per formula unit. Number 3: raw total energy -18.06 eV per formula unit. Number 4: raw total energy -16.17 eV per formula unit. Number 5: raw total energy -16.17 eV per formula unit. Number 6: raw total energy -15.36 eV per formula unit. Number 7: raw total energy -15.42 eV per formula unit. Number 8: raw total energy -15.31 eV per formula unit. Number 9: raw total energy -15.98 eV per formula unit. Number 10: raw total energy -15.31 eV per formula unit. Number 11: raw total energy -16.22 eV per formula unit. Number 12: raw total energy -16.31 eV per formula unit. Number 13: raw total energy -16.19 eV per formula unit. Number 14: raw total energy -15.10 eV per formula unit. Number 15: raw total energy -16.22 eV per formula unit. Number 16: raw total energy -15.41 eV per formula unit. Number 17: raw total energy -15.34 eV per formula unit. Number 18: raw total energy -20.75 eV per formula unit. Number 19: raw total energy -16.02 eV per formula unit. Number 20: raw total energy -18.71 eV per formula unit. Number 21: raw total energy -14.93 eV per formula unit. Number 22: raw total energy -16.98 eV per formula unit. Number 23: raw total energy -13.79 eV per formula unit. Number 24: raw total energy -12.94 eV per formula unit. Number 25: raw total energy -13.01 eV per formula unit. Number 26: raw total energy -14.85 eV per formula unit. Number 27: raw total energy -23.34 eV per formula unit. Number 28: raw total energy -21.47 eV per formula unit. Number 29: raw total energy -8.28 eV per formula unit. Number 30: raw total energy -32.84 eV per formula unit.